No. 1
A PBEsol-optimized structure of NiPbCl2, computed with SCAN.

Calculated values
ρ (g/cm³): 6.32
Excess energy over the best structure of this formula in the dataset (eV per formula unit): 1.769
Calculated volume (Å³/cell): 88.6
Energy relative to the elements, uncorrected (eV/atom): -0.177

a = 4.9294 Å, b = 4.9294 Å, c = 4.8095 Å
α = 112.56°, β = 112.56°, γ = 104.12°
Last column: nearest neighbours and their distance in Å.
Positions (direct):
Ni (0.0000, 0.0000, 0.0000)  4 Cl 2.70
Pb (0.5000, 0.5000, 0.0000)  4 Cl 2.70
Cl (0.0000, 0.5000, 0.5000)  2 Pb 2.70, 2 Ni 2.70
Cl (0.5000, 0.0000, 0.5000)  2 Pb 2.70, 2 Ni 2.70

---

No. 2
A PBEsol-optimized structure of LaIn2Ir, computed with SCAN.

Calculated values
ρ (g/cm³): 10.32
Calculated volume (Å³/cell): 180.5
Formation energy from the elements (eV per atom): -0.725

a = 5.5289 Å, b = 5.5289 Å, c = 8.1141 Å
α = 90.00°, β = 90.00°, γ = 133.32°
Last column: nearest neighbours and their distance in Å.
Positions (direct):
La (0.0661, 0.9339, 0.7500)  3 Ir 2.86-3.12
La (0.9339, 0.0661, 0.2500)  3 Ir 2.86-3.12
In (0.3529, 0.6471, 0.5504)  3 Ir 2.81, 3 In 3.10-3.14
In (0.3529, 0.6471, 0.9496)  3 Ir 2.81, 3 In 3.10-3.14
In (0.6471, 0.3529, 0.0504)  3 Ir 2.81, 3 In 3.10-3.14
In (0.6471, 0.3529, 0.4496)  3 Ir 2.81, 3 In 3.10-3.14
Ir (0.2154, 0.7846, 0.2500)  6 In 2.81, 3 La 2.86-3.12
Ir (0.7846, 0.2154, 0.7500)  6 In 2.81, 3 La 2.86-3.12

---

No. 3
A PBEsol-optimized structure of TlRuW3, computed with SCAN.

Calculated values
ρ (g/cm³): 13.91
Calculated volume (Å³/cell): 102.3
Formation energy from the elements (eV per atom): 2.016

a = 4.6771 Å, b = 4.6771 Å, c = 4.6771 Å
α = 90.00°, β = 90.00°, γ = 90.00°
Last column: nearest neighbours and their distance in Å.
Positions (direct):
Tl (0.0000, 0.0000, 0.0000)  12 W 3.31
Ru (0.5000, 0.5000, 0.5000)  6 W 2.34
W (0.0000, 0.5000, 0.5000)  2 Ru 2.34
W (0.5000, 0.0000, 0.5000)  2 Ru 2.34
W (0.5000, 0.5000, 0.0000)  2 Ru 2.34

---

No. 4
A PBEsol-optimized structure of KNa3Cd, computed with SCAN.

Calculated values
ρ (g/cm³): 1.74
Calculated volume (Å³/cell): 210.9
Formation energy from the elements (eV per atom): 0.006

a = 5.9527 Å, b = 5.9527 Å, c = 5.9527 Å
α = 90.00°, β = 90.00°, γ = 90.00°
Last column: nearest neighbours and their distance in Å.
Positions (direct):
K (0.0000, 0.0000, 0.0000)  12 Na 4.21
Na (0.0000, 0.5000, 0.5000)  2 Cd 2.98
Na (0.5000, 0.0000, 0.5000)  2 Cd 2.98
Na (0.5000, 0.5000, 0.0000)  2 Cd 2.98
Cd (0.5000, 0.5000, 0.5000)  6 Na 2.98

---

No. 5
A PBEsol-optimized structure of Tl2HgOs, computed with SCAN.

Calculated values
ρ (g/cm³): 15.57
Excess energy over the best structure of this formula in the dataset (eV per formula unit): 0.000
Calculated volume (Å³/cell): 85.3
Formation energy from the elements (eV per atom): 0.762

a = 10.7101 Å, b = 10.7101 Å, c = 10.7101 Å
α = 16.39°, β = 16.39°, γ = 16.39°
Last column: nearest neighbours and their distance in Å.
Positions (direct):
Tl (0.0000, 0.0000, 0.0000)  6 Tl 3.05, 3 Hg 3.33
Tl (0.2332, 0.2332, 0.2332)  3 Os 2.90, 6 Tl 3.05
Hg (0.7559, 0.7559, 0.7559)  3 Os 2.87, 6 Hg 3.05
Os (0.4940, 0.4940, 0.4940)  3 Hg 2.87, 3 Tl 2.90, 6 Os 3.05

---

No. 6
A PBEsol-optimized structure of Li4Cu2Si3O10, computed with SCAN.

Calculated values
ρ (g/cm³): 3.32
Calculated volume (Å³/cell): 399.4
Energy relative to the elements, uncorrected (eV/atom): -2.354

a = 5.3291 Å, b = 5.3291 Å, c = 16.1253 Å
α = 96.07°, β = 96.07°, γ = 61.51°
Last column: nearest neighbours and their distance in Å.
Positions (direct):
Li (0.0707, 0.3214, 0.2227)  3 O 1.96-2.16
Li (0.1794, 0.3343, 0.5521)  4 O 1.88-2.06
Li (0.3214, 0.0707, 0.7227)  3 O 1.96-2.16
Li (0.3343, 0.1794, 0.0521)  4 O 1.88-2.06
Li (0.6657, 0.8206, 0.9479)  4 O 1.88-2.06
Li (0.6786, 0.9293, 0.2773)  3 O 1.96-2.16
Li (0.8206, 0.6657, 0.4479)  4 O 1.88-2.06
Li (0.9293, 0.6786, 0.7773)  3 O 1.96-2.16
Cu (0.3067, 0.5252, 0.9198)  4 O 1.96-2.03
Cu (0.4748, 0.6933, 0.5802)  4 O 1.96-2.03
Cu (0.5252, 0.3067, 0.4198)  4 O 1.96-2.03
Cu (0.6933, 0.4748, 0.0802)  4 O 1.96-2.03
Si (0.0252, 0.8398, 0.0974)  4 O 1.60-1.68
Si (0.1602, 0.9748, 0.4026)  4 O 1.60-1.68
Si (0.3918, 0.6082, 0.2500)  4 O 1.61-1.65
Si (0.6082, 0.3918, 0.7500)  4 O 1.61-1.65
Si (0.8398, 0.0252, 0.5974)  4 O 1.60-1.68
Si (0.9748, 0.1602, 0.9026)  4 O 1.60-1.68
O (0.0616, 0.1308, 0.1110)  1 Si 1.64
O (0.0980, 0.6890, 0.1893)  2 Si 1.65-1.68
O (0.1136, 0.2880, 0.4341)  1 Si 1.60
O (0.1308, 0.0616, 0.6110)  1 Si 1.64
O (0.2800, 0.5851, 0.0415)  1 Si 1.66
O (0.2880, 0.1136, 0.9341)  1 Si 1.60
O (0.3110, 0.9020, 0.3107)  2 Si 1.65-1.68
O (0.3402, 0.4331, 0.7986)  1 Si 1.61
O (0.4149, 0.7200, 0.4585)  1 Si 1.66
O (0.4331, 0.3402, 0.2986)  1 Si 1.61
O (0.5669, 0.6598, 0.7014)  1 Si 1.61
O (0.5851, 0.2800, 0.5415)  1 Si 1.66
O (0.6598, 0.5669, 0.2014)  1 Si 1.61
O (0.6890, 0.0980, 0.6893)  2 Si 1.65-1.68
O (0.7120, 0.8864, 0.0659)  1 Si 1.60
O (0.7200, 0.4149, 0.9585)  1 Si 1.66
O (0.8692, 0.9384, 0.3890)  1 Si 1.64
O (0.8864, 0.7120, 0.5659)  1 Si 1.60
O (0.9020, 0.3110, 0.8107)  2 Si 1.65-1.68
O (0.9384, 0.8692, 0.8890)  1 Si 1.64

---

No. 7
A PBEsol-optimized structure of TiOs2RhO, computed with SCAN.

Calculated values
ρ (g/cm³): 9.89
Calculated volume (Å³/cell): 91.9
Energy relative to the elements, uncorrected (eV/atom): 2.236

a = 4.5282 Å, b = 4.5282 Å, c = 4.4803 Å
α = 90.00°, β = 90.00°, γ = 90.00°
Last column: nearest neighbours and their distance in Å.
Positions (direct):
Ti (0.0000, 0.0000, 0.0000)  2 Rh 2.24, 4 Os 2.26
Os (0.0000, 0.5000, 0.0000)  2 Ti 2.26
Os (0.5000, 0.0000, 0.0000)  2 Ti 2.26
Rh (0.0000, 0.0000, 0.5000)  2 Ti 2.24
O (0.5000, 0.5000, 0.5000)  8 Os 3.19, 4 Rh 3.20

---

No. 8
A PBEsol-optimized structure of HfAsCBr2, computed with SCAN.

Calculated values
ρ (g/cm³): 8.04
Calculated volume (Å³/cell): 87.8
Energy relative to the elements, uncorrected (eV/atom): 1.108

a = 4.3664 Å, b = 4.3664 Å, c = 4.6047 Å
α = 90.00°, β = 90.00°, γ = 90.00°
Last column: nearest neighbours and their distance in Å.
Positions (direct):
Hf (0.0000, 0.0000, 0.0000)  4 As 3.09, 8 Br 3.17
As (0.5000, 0.5000, 0.0000)  2 C 2.30
C (0.5000, 0.5000, 0.5000)  4 Br 2.18, 2 As 2.30
Br (0.0000, 0.5000, 0.5000)  2 C 2.18
Br (0.5000, 0.0000, 0.5000)  2 C 2.18

---

No. 9
A PBEsol-optimized structure of TlSbSe3, computed with SCAN.

Calculated values
ρ (g/cm³): 6.60
Calculated volume (Å³/cell): 141.6
Energy relative to the elements, uncorrected (eV/atom): 0.678

a = 5.2125 Å, b = 5.2125 Å, c = 5.2125 Å
α = 90.00°, β = 90.00°, γ = 90.00°
Last column: nearest neighbours and their distance in Å.
Positions (direct):
Tl (0.0000, 0.0000, 0.0000)  6 Se 2.61
Sb (0.5000, 0.5000, 0.5000)  12 Se 3.69
Se (0.0000, 0.0000, 0.5000)  2 Tl 2.61
Se (0.0000, 0.5000, 0.0000)  2 Tl 2.61
Se (0.5000, 0.0000, 0.0000)  2 Tl 2.61

---

No. 10
A PBEsol-optimized structure of KZrPb2, computed with SCAN.

Calculated values
ρ (g/cm³): 6.83
Excess energy over the best structure of this formula in the dataset (eV per formula unit): 0.792
Calculated volume (Å³/cell): 132.4
Formation energy from the elements (eV per atom): -0.120

a = 8.9206 Å, b = 8.9206 Å, c = 8.9206 Å
α = 158.98°, β = 148.64°, γ = 38.06°
Last column: nearest neighbours and their distance in Å.
Positions (direct):
K (0.0000, 0.0000, 0.0000)  2 K 3.25
Zr (0.7816, 0.2816, 0.5000)  6 Pb 2.98-3.02, 2 Zr 3.25
Pb (0.3211, 0.8211, 0.5000)  4 Zr 2.98, 2 Pb 3.25
Pb (0.6310, 0.6310, 0.0000)  2 Zr 3.02, 2 Pb 3.25

---

No. 11
A PBEsol-optimized structure of ZrNiCl, computed with SCAN.

Calculated values
ρ (g/cm³): 5.84
Calculated volume (Å³/cell): 52.7
Energy relative to the elements, uncorrected (eV/atom): -0.465

a = 6.1270 Å, b = 6.1270 Å, c = 6.1270 Å
α = 151.36°, β = 151.36°, γ = 40.95°
Last column: nearest neighbours and their distance in Å.
Positions (direct):
Zr (0.0000, 0.0000, 0.0000)  4 Ni 2.67, 4 Cl 2.73
Ni (0.3612, 0.3612, 0.0000)  4 Zr 2.67
Cl (0.6477, 0.6477, 0.0000)  4 Zr 2.73, 4 Cl 3.03

---

No. 12
A PBEsol-optimized structure of SrTl2Sb2, computed with SCAN.

Calculated values
ρ (g/cm³): 7.65
Calculated volume (Å³/cell): 160.6
Energy relative to the elements, uncorrected (eV/atom): -0.386

a = 8.2957 Å, b = 8.2957 Å, c = 8.2957 Å
α = 147.91°, β = 147.91°, γ = 46.02°
Last column: nearest neighbours and their distance in Å.
Positions (direct):
Sr (0.0000, 0.0000, 0.0000)  8 Sb 3.55
Tl (0.2500, 0.7500, 0.5000)  4 Tl 3.24, 4 Sb 3.30
Tl (0.7500, 0.2500, 0.5000)  4 Tl 3.24, 4 Sb 3.30
Sb (0.4056, 0.4056, 0.0000)  1 Sb 2.88
Sb (0.5944, 0.5944, 0.0000)  1 Sb 2.88